! MgTaSe (PBE-GGA, relaxed); values from VASP
&SYSTEM
  ibrav = 0, nat = 3, ntyp = 3
/
ATOMIC_SPECIES
Se 78.96 Se.upf
Mg 24.30 Mg.upf
Ta 180.95 Ta.upf
CELL_PARAMETERS angstrom
-0.1851 -1.8471 4.1141
-2.4168 -3.7502 0.6834
2.0918 -3.9163 0.8116
ATOMIC_POSITIONS crystal
Se 0.5000 0.5000 0.5000
Mg 0.0000 0.0000 0.0000
Ta 0.7500 0.7500 0.7500
! Total moment in μB per atom: 0.20
! Uncorrected formation energy in eV/atom: 0.7358
! Theoretical density in kg/m³: 7259
! Distance to the lowest polymorph of the same formula in eV/f.u.: 3.02
! Space group: No. 216
! DFT total energy in eV/atom: -4.908